Here is crystalline SrDyCdSn at its relaxed geometry from the Alexandria database. Energies are from PBE.

Calculated values
* crystal system: cubic
* DOS(E_F): 0.834 states/eV per atom
* E_form: -1.74 eV per formula unit
* space-group type: No. 216

```
4
Lattice="0.000 3.882 3.882 3.882 0.000 3.882 3.882 3.882 0.000" Properties=species:S:1:pos:R:3 pbc="T T T"
Sr 0.000 0.000 0.000
Dy 3.882 3.882 3.882
Cd 5.823 5.823 5.823
Sn 1.941 1.941 1.941
```

Here is crystalline MoOs3 at its relaxed geometry from the Alexandria database. Energies are from PBE.

Calculated values
* crystal system: orthorhombic
* DOS(E_F): 0.826 states/eV per atom
* E_form: 0.30 eV per formula unit
* space-group type: No. 65

```
4
Lattice="2.752 -3.888 0.000 2.752 3.888 0.000 0.000 0.000 2.746" Properties=species:S:1:pos:R:3 pbc="T T T"
Mo 0.000 0.000 0.000
Os 1.376 1.944 1.373
Os 1.376 -1.944 1.373
Os 2.752 0.000 0.000
```

Here is crystalline CaCuAu at its relaxed geometry from the Alexandria database. Energies are from PBE.

Calculated values
* crystal system: orthorhombic
* DOS(E_F): 0.433 states/eV per atom
* E above lowest polymorph: 201 meV per atom
* E_form: -0.83 eV per formula unit
* space-group type: No. 69

```
12
Lattice="0.000 6.258 8.076 2.575 0.000 8.076 2.575 6.258 0.000" Properties=species:S:1:pos:R:3 pbc="T T T"
Ca 2.575 1.803 6.293
Ca 2.575 1.803 9.858
Ca 2.575 10.714 6.293
Ca 2.575 10.714 9.858
Cu 2.575 4.127 8.076
Cu 2.575 6.258 6.830
Cu 2.575 6.258 9.322
Cu 2.575 8.389 8.076
Au 2.575 4.525 4.842
Au 2.575 7.992 4.842
Au 2.575 4.525 11.309
Au 2.575 7.992 11.309
```